No. 1
VASP calculation (PBE-GGA) on a geometry-optimized AcErZr structure.

Cell: 7.6107 7.6107 7.6107 Å, 90.00 90.00 90.00°
Last column: nearest neighbours and their distance in Å.
Space group F-43m (No. 216)
Unique sites:
Ac 0.0000 0.0000 0.0000  4 Er 3.30
Er 0.2500 0.2500 0.2500  4 Zr 3.30, 4 Ac 3.30
Zr 0.0000 0.0000 0.5000  4 Er 3.30

- ΔH_f (0 K) (meV per atom) = 937.4
- relative energy among the computed polymorphs (meV/atom) = 0
- energy (eV per atom) = -4.801



No. 2
VASP calculation (PBE-GGA) on a geometry-optimized GdMgZn structure.

Cell: 10.7133 6.3315 8.3754 Å, 90.00 91.31 90.00°
Last column: nearest neighbours and their distance in Å.
Space group Cm (No. 8)
Unique sites:
Gd 0.0000 0.0000 0.0000  4 Zn 2.93-3.07
Gd 0.0062 0.5000 0.7206  8 Zn 3.25-3.53, 4 Mg 3.48-3.64
Gd 0.1955 0.5000 0.1405  2 Zn 3.02, 4 Mg 3.23-3.38
Gd 0.3130 0.0000 0.1188  2 Zn 3.05, 2 Mg 3.25
Mg 0.0022 0.2389 0.3547  3 Mg 2.91-3.02, 1 Zn 2.96, 2 Gd 3.23-3.25
Mg 0.2546 0.2511 0.4913  3 Zn 2.70-2.88, 2 Mg 2.91
Zn 0.1524 0.0000 0.7133  3 Zn 2.44-2.48, 2 Mg 2.70
Zn 0.2755 0.2937 0.8338  3 Zn 2.48-2.67
Zn 0.4299 0.5000 0.6425  3 Zn 2.44-2.67

- energy (eV per atom) = -2.582



No. 3
VASP calculation (PBE-GGA) on a geometry-optimized ErLuGe2Pd structure.

Cell: 10.4581 4.2878 10.1284 Å, 90.00 116.94 90.00°
Last column: nearest neighbours and their distance in Å.
Space group C2/m (No. 12)
Unique sites:
Er 0.1844 0.0000 0.1074  6 Ge 2.95-3.12, 2 Pd 3.14
Lu 0.0089 0.0000 0.3292  6 Ge 2.94-3.07, 4 Pd 3.04-3.19
Ge 0.0281 0.5000 0.8839  1 Pd 2.62, 1 Ge 2.67
Ge 0.1375 0.5000 0.5690  3 Pd 2.51-2.75, 1 Ge 2.57
Pd 0.2227 0.5000 0.3493  4 Ge 2.51-2.75

- energy (eV per atom) = -5.608



Across the entries above, mass density takes the values 7.3, 5.8, 9.7 g cm⁻³, respectively.